Entry 1:
This record from Alexandria via LeMat-Bulk describes LiHSe2Br after structural relaxation. The functional is PBE-GGA.

Results
Calculated volume ... 117 Å³/f.u.
Magnetic moment ... 2.5 μB per cell
E above lowest polymorph ... 0.825 eV/atom
Density of states at the Fermi level ... 0.72 states/eV/atom

Cell: 4.721 4.721 5.237 Å, 90.00 90.00 90.00°
Space group P4/mmm (No. 123)
One atom of each set of equivalent atoms:
Li1 0.000 0.000 0.000 (multiplicity 1)
H1 0.500 0.500 0.500 (multiplicity 1)
Se1 0.000 0.500 0.000 (multiplicity 2)
Br1 0.000 0.000 0.500 (multiplicity 1)

Entry 2:
This record from Alexandria via LeMat-Bulk describes LiHSeBr2 after structural relaxation. The functional is PBE-GGA.

Results
Calculated volume ... 138 Å³/f.u.
Magnetic moment ... 4.0 μB per cell
E above lowest polymorph ... 0.498 eV/atom
Density of states at the Fermi level ... 0.63 states/eV/atom

Cell: 5.152 5.152 5.186 Å, 90.00 90.00 90.00°
Space group P4/mmm (No. 123)
One atom of each set of equivalent atoms:
Li1 0.000 0.000 0.000 (multiplicity 1)
H1 0.500 0.500 0.500 (multiplicity 1)
Se1 0.000 0.000 0.500 (multiplicity 1)
Br1 0.000 0.500 0.000 (multiplicity 2)

Entry 3:
This record from Alexandria via LeMat-Bulk describes LiTiHBr2 after structural relaxation. The functional is PBE-GGA.

Results
Calculated volume ... 88 Å³/f.u.
Magnetic moment ... 2.0 μB per cell
Density of states at the Fermi level ... 0.54 states/eV/atom
Raw total energy ... -3.397 eV/atom

Cell: 5.120 5.120 3.343 Å, 90.00 90.00 90.00°
Space group P4/mmm (No. 123)
One atom of each set of equivalent atoms:
Li1 0.000 0.000 0.000 (multiplicity 1)
Ti1 0.500 0.500 0.000 (multiplicity 1)
H1 0.000 0.000 0.500 (multiplicity 1)
Br1 0.000 0.500 0.500 (multiplicity 2)

Entry 4:
This record from Alexandria via LeMat-Bulk describes LiH2WBr after structural relaxation. The functional is PBE-GGA.

Results
Calculated volume ... 71 Å³/f.u.
Magnetic moment ... 2.4 μB per cell
Density of states at the Fermi level ... 0.40 states/eV/atom
Raw total energy ... -4.363 eV/atom

Cell: 3.643 3.643 5.353 Å, 90.00 90.00 90.00°
Space group P4/mmm (No. 123)
One atom of each set of equivalent atoms:
Li1 0.000 0.000 0.000 (multiplicity 1)
H1 0.000 0.500 0.500 (multiplicity 2)
W1 0.500 0.500 0.500 (multiplicity 1)
Br1 0.500 0.500 0.000 (multiplicity 1)